DFT (GGA-PBE) results for a relaxed structure of Hf3PaTc4.

Computed properties:
DOS(E_F), states/eV/atom: 0.848
Formation energy from the elements, eV per atom: -0.429
Final energy, eV per cell: -84.25

Cell lengths 3.326, 3.326, 13.094 Å; angles 90.00, 90.00, 90.00 degrees
Positions (direct):
Hf 0.000 0.000 0.000
Hf 0.000 0.000 0.242
Hf 0.000 0.000 0.758
Pa 0.000 0.000 0.500
Tc 0.500 0.500 0.125
Tc 0.500 0.500 0.378
Tc 0.500 0.500 0.622
Tc 0.500 0.500 0.875


DFT (GGA-PBE) results for a relaxed structure of Nd3Sm4YS8.

Computed properties:
DOS(E_F), states/eV/atom: 0.567
Final energy, eV per cell: -104.89
E_form (uncorrected), eV/atom: -2.0142

Cell lengths 8.043, 8.043, 8.043 Å; angles 60.04, 60.04, 60.04 degrees
Positions (direct):
Nd 0.000 0.500 0.500
Nd 0.500 0.000 0.500
Nd 0.500 0.500 0.000
Sm 0.000 0.000 0.500
Sm 0.000 0.500 0.000
Sm 0.500 0.000 0.000
Sm 0.500 0.500 0.500
Y 0.000 0.000 0.000
S 0.243 0.753 0.753
S 0.247 0.247 0.757
S 0.247 0.757 0.247
S 0.248 0.248 0.248
S 0.752 0.752 0.752
S 0.753 0.243 0.753
S 0.753 0.753 0.243
S 0.757 0.247 0.247